## SrRh3 (PBE-GGA)

Data for a relaxed structure of SrRh3.

Summary:
calculated volume = 17.3 Å³/atom
energy of formation = 209 meV/atom
SG = Cmmm
calculated total energy = -5.73 eV/atom

a b c (Å): 5.0111 5.0111 2.9107
angles (deg): 90.00 90.00 108.55
Fractional coordinates of all 4 atoms:
Rh 0.0000 0.5000 0.5000
Rh 0.5000 0.0000 0.5000
Rh 0.5000 0.5000 0.0000
Sr 0.0000 0.0000 0.0000